# CsAg2Cl GGA-PBE relaxed
data_CsAg2Cl
_cell_length_a 5.665
_cell_length_b 5.665
_cell_length_c 5.665
_cell_angle_alpha 60.00
_cell_angle_beta 60.00
_cell_angle_gamma 60.00
_space_group_name_H-M_alt 'P 1'
_space_group_IT_number 1
loop_
_space_group_symop_operation_xyz
'x,y,z'
loop_
_atom_site_label
_atom_site_fract_x
_atom_site_fract_y
_atom_site_fract_z
Cs1 0.000 0.000 0.000
Ag1 0.250 0.250 0.250
Ag2 0.750 0.750 0.750
Cl1 0.500 0.500 0.500
# **E**: -1.9059 eV per atom
# **E_form (uncorrected)**: 0.1947 eV per atom
# **V**: 129 Å³/cell